Arrangement one

Computed, not measured: a relaxed structure of SnGe2F at the GGA-PBE level of DFT.

The space group is I-42d (No. 122) and the conventional cell measures 4.7124, 4.7124 and 15.7784 Å, with angles of 90.00, 90.00 and 90.00 degrees. The distinct sites, in fractional coordinates, are Sn at (0.0000, 0.0000, 0.0000), Ge at (0.1486, 0.2500, 0.6250) and F at (0.0000, 0.0000, 0.5000).

Its crystal system is tetragonal.

=====

Arrangement two

Computed, not measured: a relaxed structure of SnGe2F at the GGA-PBE level of DFT.

The space group is Fm-3m (No. 225) and the conventional cell measures 6.7041, 6.7041 and 6.7041 Å, with angles of 90.00, 90.00 and 90.00 degrees. The distinct sites, in fractional coordinates, are Sn at (0.0000, 0.0000, 0.0000), Ge at (0.2500, 0.2500, 0.2500) and F at (0.0000, 0.0000, 0.5000).

Its crystal system is cubic.

=====

Need the numbers? Relative energies in eV/atom: arrangement one 0.047; arrangement two 0.000.

=====

Arrangement one

Computed, not measured: a relaxed structure of SnGeF6 at the GGA-PBE level of DFT.

The space group is C2/c (No. 15) and the conventional cell measures 9.6816, 5.2090 and 9.6346 Å, with angles of 90.00, 103.53 and 90.00 degrees. The distinct sites, in fractional coordinates, are Sn at (0.0000, 0.2401, 0.2500), Ge at (0.2500, 0.2500, 0.0000), F at (0.0908, 0.4134, 0.8878), F at (0.1447, 0.0344, 0.5002) and F at (0.2006, 0.3655, 0.1624).

Its crystal system is monoclinic.

=====

Arrangement two

Computed, not measured: a relaxed structure of SnGeF6 at the GGA-PBE level of DFT.

The space group is C2/m (No. 12) and the conventional cell measures 6.9230, 6.6714 and 5.1041 Å, with angles of 90.00, 109.53 and 90.00 degrees. The distinct sites, in fractional coordinates, are Sn at (0.0000, 0.0000, 0.0000), Ge at (0.0000, 0.5000, 0.5000), F at (0.0789, 0.3091, 0.7756) and F at (0.2369, 0.0000, 0.5009).

Its crystal system is monoclinic.

=====

Need the numbers? Relative energies in eV/atom: arrangement one 0.000; arrangement two 0.032.